# Na3ReRh3Se8 PBE-GGA relaxed
# Spin magnetization = 8.49 μB per cell
# Formation energy from raw total energies = -11.98 kcal/mol of atoms
# Density of states at the Fermi level = 0.220 states/eV/atom
data_Na3ReRh3Se8
_chemical_formula_sum 'Na9 Re3 Rh9 Se24'
_cell_length_a 7.5549
_cell_length_b 7.5549
_cell_length_c 20.3783
_cell_angle_alpha 90.00
_cell_angle_beta 90.00
_cell_angle_gamma 120.00
_space_group_name_H-M_alt 'R -3 m'
_space_group_IT_number 166
_space_group_name_Hall '-R 3 2"'
loop_
_atom_site_label
_atom_site_fract_x
_atom_site_fract_y
_atom_site_fract_z
Na1 0.0000 0.5000 0.0000
Re1 0.0000 0.0000 0.5000
Rh1 0.0000 0.5000 0.5000
Se1 0.0000 0.0000 0.2290
Se2 0.0045 0.5022 0.7683